AlZn2Pt5 PBE optimized geometry; energy = -5.1940 eV per atom; calculated formation energy = -0.632 eV/atom; spin magnetization = 0.00 μB per formula unit; volume = 239 Å³/cell
1.0
4.0700 0.0000 0.0000
0.0000 5.4704 0.0000
0.0000 0.0000 10.7160
Pt Al Zn
10 2 4
Cartesian
2.0350 1.0551 6.5003
2.0350 4.4153 4.2157
0.0000 0.0000 0.0000
0.0000 2.7352 5.3580
0.0000 3.1321 2.5399
0.0000 5.0735 7.8979
2.0350 1.6801 1.1423
2.0350 3.7903 9.5737
0.0000 0.3969 2.8181
0.0000 2.3383 8.1761
0.0000 0.0000 5.3580
0.0000 2.7352 0.0000
2.0350 3.7158 6.8512
2.0350 1.7546 3.8648
2.0350 4.4899 1.4932
2.0350 0.9806 9.2228



KNaCu2W PBE optimized geometry; energy = -3.4774 eV per atom; calculated formation energy = 1.235 eV/atom; spin magnetization = 1.31 μB per formula unit; volume = 134 Å³/cell
1.0
-1.0518 -2.8630 3.7682
4.5858 1.9704 2.7770
-2.6920 3.5368 1.9358
K Cu W Na
1 2 1 1
Cartesian
0.4210 1.3221 4.2405
-0.5259 -1.4315 1.8841
-1.3460 1.7684 0.9679
0.0000 0.0000 0.0000
2.2929 0.9852 1.3885



- What is the formula in the first record?
  AlZn2Pt5